(1)
{
  "formula": "La2MoCl",
  "functional": "PBE",
  "state": "optimized geometry",
  "lattice": [[2.3038, -4.6158, 0.7859], [1.8012, -1.2442, 4.7369], [-2.4054, -3.6692, 2.8252]],
  "species": ["La", "La", "Mo", "Cl"],
  "fractional_positions": [[0.7500, 0.7500, 0.7500], [0.2500, 0.2500, 0.2500], [0.5000, 0.5000, 0.5000], [0.0000, 0.0000, 0.0000]],
  "space_group": "Fm-3m (225)",
  "dos_ef_per_ev_cell": 2.59,
  "relative_energy_ev_per_atom": 0.447,
  "magmom_total_mub_per_fu": 1.09,
  "energy_ev_per_atom": -5.67,
  "formation_energy_uncorrected_ev_per_atom": -0.040
}

---

(2)
{
  "formula": "LaMo2Cl",
  "functional": "PBE",
  "state": "optimized geometry",
  "lattice": [[-9.2329, -3.6384, -1.5147], [-8.3054, -5.6139, 0.5324], [-9.4773, -3.0005, 1.3985]],
  "species": ["Mo", "Mo", "Cl", "La"],
  "fractional_positions": [[0.5142, 0.5142, 0.5142], [0.9858, 0.9858, 0.9858], [0.2500, 0.2500, 0.2500], [0.7500, 0.7500, 0.7500]],
  "space_group": "R-3m (166)",
  "dos_ef_per_ev_cell": 6.85,
  "relative_energy_ev_per_atom": 0.973,
  "magmom_total_mub_per_fu": 0.01,
  "energy_ev_per_atom": -6.32,
  "formation_energy_uncorrected_ev_per_atom": 0.793
}

---

(3)
{
  "formula": "LaMo2Cl",
  "functional": "PBE",
  "state": "optimized geometry",
  "lattice": [[-2.5277, 1.1771, 1.9622], [-2.3679, -2.9188, -1.2993], [2.0154, -3.8073, 4.8802]],
  "species": ["La", "Cl", "Mo", "Mo"],
  "fractional_positions": [[0.5000, 0.5000, 0.6982], [0.0000, 0.0000, 0.5227], [0.0000, 0.0000, 0.1445], [0.5000, 0.5000, 0.1346]],
  "space_group": "Pmm2 (25)",
  "dos_ef_per_ev_cell": 4.61,
  "relative_energy_ev_per_atom": 0.278,
  "magmom_total_mub_per_fu": 0.00,
  "energy_ev_per_atom": -7.01,
  "formation_energy_uncorrected_ev_per_atom": 0.098
}